Record 1
This record from the Alexandria database describes a geometry-optimized La4SmHo4 structure. The functional is PBE-GGA.

Computed properties:
ΔH_f (0 K), eV/atom: 0.2076
Offset from the most stable computed form, eV/atom: 0.178
Uncorrected energy, eV per formula unit: -40.87
Volume, Å³ per cell: 310.4
Density, g/cm3: 7.306

Geometry as POSCAR:
```
La4SmHo4
1.0
5.875 -3.762 0.000
5.875 3.762 0.000
-5.549 0.000 7.022
La Sm Ho
4 1 4
direct
0.000 0.000 0.000 La
0.511 0.939 0.158 La
0.526 0.526 0.310 La
0.939 0.511 0.158 La
0.069 0.069 0.385 Sm
0.019 0.464 0.781 Ho
0.438 0.438 0.646 Ho
0.464 0.019 0.781 Ho
0.913 0.913 0.593 Ho
```

=====

Record 2
This record from the Alexandria database describes a geometry-optimized La8SmHo3 structure. The functional is PBE-GGA.

Computed properties:
ΔH_f (0 K), eV/atom: 0.3200
Uncorrected energy, eV per formula unit: -54.03
Volume, Å³ per cell: 450.9
Density, g/cm3: 6.468

Geometry as POSCAR:
```
La8SmHo3
1.0
-3.437 5.593 5.864
3.437 -5.593 5.864
3.437 5.593 -5.864
La Sm Ho
8 1 3
direct
0.085 0.248 0.837 La
0.275 0.221 0.497 La
0.275 0.779 0.054 La
0.411 0.248 0.163 La
0.589 0.752 0.837 La
0.725 0.221 0.946 La
0.725 0.779 0.503 La
0.915 0.752 0.163 La
0.500 0.500 0.000 Sm
0.000 0.000 0.000 Ho
0.266 0.766 0.500 Ho
0.734 0.234 0.500 Ho
```

=====

| no. | total magnetization (μB per formula unit) |
| --- | --- |
| 1 | 0.000 |
| 2 | 0.000 |